No. 1
A plane-wave DFT calculation with PBE-GGA was carried out for an optimized crystal structure of AlFeNi2As.

The density of states at the Fermi level is 0.378 states/eV/f.u. Its formation energy is 0.398 eV per atom. Its total energy is -26.43 eV/cell.

```
AlFeNi2As
1.0
4.2844 0.0000 0.0000
0.0000 4.2844 0.0000
0.0000 0.0000 4.3797
Al Fe Ni As
1 1 2 1
direct
0.0000 0.0000 0.0000 Al
0.5000 0.5000 0.0000 Fe
0.0000 0.5000 0.5000 Ni
0.5000 0.0000 0.5000 Ni
0.5000 0.5000 0.5000 As
```

=====

No. 2
A plane-wave DFT calculation with PBE-GGA was carried out for an optimized crystal structure of Mg2HRu.

The density of states at the Fermi level is 4.214 states/eV/f.u. The polymorph energy (0 for the lowest one) is 513.9 meV/atom. Its total energy is -13.33 eV/cell.

```
Mg2HRu
1.0
0.0000 3.0928 3.0928
3.0928 0.0000 3.0928
3.0928 3.0928 0.0000
Mg H Ru
2 1 1
direct
0.2500 0.2500 0.2500 Mg
0.7500 0.7500 0.7500 Mg
0.0000 0.0000 0.0000 H
0.5000 0.5000 0.5000 Ru
```